VASP calculation (PBE) on a geometry-optimized YAlTl structure.

## Properties
energy of formation = 148 meV per atom

Lattice parameters (Å, degrees): 5.0025 5.0025 5.0025 60.00 60.00 60.00
Fractional coordinates of all 3 atoms:
Y  0.0000  0.0000  0.0000
Al  0.7500  0.7500  0.7500
Tl  0.2500  0.2500  0.2500

VASP calculation (PBE) on a geometry-optimized SnIBr4 structure.

## Properties
E_form (uncorrected) = -3.85 kcal/mol of atoms

Lattice parameters (Å, degrees): 7.6636 7.6639 8.2320 117.67 117.72 90.00
Fractional coordinates of all 6 atoms:
Sn  0.0000  0.0000  0.0000
I  0.7500  0.2500  0.5000
Br  0.2333  0.7655  0.0015
Br  0.2345  0.2318  0.9984
Br  0.7640  0.7667  0.9985
Br  0.7681  0.2359  0.0015

VASP calculation (PBE) on a geometry-optimized In2GaSnSe6 structure.

## Properties
E_form (uncorrected) = -9.93 kcal/mol of atoms

Lattice parameters (Å, degrees): 9.3244 9.3244 7.2283 104.24 104.24 93.77
Fractional coordinates of all 20 atoms:
In  0.0222  0.2012  0.1436
In  0.2012  0.0222  0.6436
In  0.7988  0.9778  0.3564
In  0.9778  0.7988  0.8564
Ga  0.3331  0.6669  0.2500
Ga  0.6669  0.3331  0.7500
Sn  0.4044  0.5956  0.7500
Sn  0.5956  0.4044  0.2500
Se  0.0330  0.2130  0.5192
Se  0.1410  0.5900  0.9301
Se  0.2130  0.0330  0.0192
Se  0.3106  0.4286  0.3372
Se  0.4100  0.8590  0.5699
Se  0.4286  0.3106  0.8372
Se  0.5714  0.6894  0.1628
Se  0.5900  0.1410  0.4301
Se  0.6894  0.5714  0.6628
Se  0.7870  0.9670  0.9808
Se  0.8590  0.4100  0.0699
Se  0.9670  0.7870  0.4808

VASP calculation (PBE) on a geometry-optimized Rb2SiBr6N structure.

## Properties
E_form (uncorrected) = -11.81 kcal/mol of atoms

Lattice parameters (Å, degrees): 7.7036 7.7036 7.7036 120.07 120.07 89.88
Fractional coordinates of all 10 atoms:
Rb  0.2500  0.7500  0.5000
Rb  0.7500  0.2500  0.5000
Si  0.0000  0.0000  0.0000
Br  0.2235  0.2235  0.0000
Br  0.2239  0.2239  0.4478
Br  0.2239  0.7761  0.0000
Br  0.7761  0.2239  0.0000
Br  0.7761  0.7761  0.5522
Br  0.7765  0.7765  0.0000
N  0.5000  0.5000  0.0000

VASP calculation (PBE) on a geometry-optimized CrPCl3 structure.

## Properties
E_form (uncorrected) = -4.07 kcal/mol of atoms

Lattice parameters (Å, degrees): 7.8812 7.8812 5.9739 90.00 90.00 118.21
Fractional coordinates of all 10 atoms:
Cr  0.0000  0.0000  0.0000
Cr  0.0000  0.0000  0.5000
P  0.3374  0.6626  0.7500
P  0.6626  0.3374  0.2500
Cl  0.1282  0.2640  0.2500
Cl  0.1355  0.8645  0.2500
Cl  0.2640  0.1282  0.7500
Cl  0.7360  0.8718  0.2500
Cl  0.8645  0.1355  0.7500
Cl  0.8718  0.7360  0.7500

VASP calculation (PBE) on a geometry-optimized CuPPt2 structure.

## Properties
energy of formation = -184 meV per atom

Lattice parameters (Å, degrees): 3.2500 3.8042 5.1033 90.00 108.49 90.00
Fractional coordinates of all 4 atoms:
Cu  0.0000  0.0000  0.0000
P  0.6021  0.5000  0.1908
Pt  0.3629  0.5000  0.7298
Pt  0.7252  0.0000  0.4529

VASP calculation (PBE) on a geometry-optimized Ba2LiGaNi structure.

## Properties
energy of formation = -92 meV per atom

Lattice parameters (Å, degrees): 6.0377 6.0377 4.6960 90.00 90.00 90.00
Fractional coordinates of all 5 atoms:
Ba  0.0000  0.5000  0.0000
Ba  0.5000  0.0000  0.0000
Li  0.0000  0.0000  0.5000
Ga  0.5000  0.5000  0.5000
Ni  0.5000  0.5000  0.0000

VASP calculation (PBE) on a geometry-optimized CaZnCr structure.

## Properties
energy of formation = 545 meV per atom

Lattice parameters (Å, degrees): 3.4620 3.4620 6.7327 90.00 90.00 120.00
Fractional coordinates of all 3 atoms:
Ca  0.0000  0.0000  0.0000
Zn  0.3333  0.6667  0.6434
Cr  0.6667  0.3333  0.3795

VASP calculation (PBE) on a geometry-optimized NaPrSmPb structure.

## Properties
energy of formation = -221 meV per atom

Lattice parameters (Å, degrees): 5.5389 5.5389 5.5389 60.00 60.00 60.00
Fractional coordinates of all 4 atoms:
Na  0.0000  0.0000  0.0000
Pr  0.7500  0.7500  0.7500
Sm  0.2500  0.2500  0.2500
Pb  0.5000  0.5000  0.5000

VASP calculation (PBE) on a geometry-optimized Cu2AgCl4 structure.

## Properties
E_form (uncorrected) = -11.23 kcal/mol of atoms

Lattice parameters (Å, degrees): 5.3134 5.3134 6.0798 90.00 90.00 90.00
Fractional coordinates of all 7 atoms:
Cu  0.0000  0.5000  0.0000
Cu  0.5000  0.0000  0.0000
Ag  0.0000  0.0000  0.5000
Cl  0.2596  0.2596  0.7803
Cl  0.2596  0.7404  0.2197
Cl  0.7404  0.2596  0.2197
Cl  0.7404  0.7404  0.7803

VASP calculation (PBE) on a geometry-optimized CaZn9Pt2 structure.

## Properties
energy of formation = -372 meV per atom

Lattice parameters (Å, degrees): 8.2969 8.2969 8.2969 100.25 100.25 130.10
Fractional coordinates of all 24 atoms:
Ca  0.3750  0.6250  0.7500
Ca  0.6250  0.3750  0.2500
Zn  0.1250  0.8750  0.2500
Zn  0.1375  0.5575  0.3371
Zn  0.1375  0.8004  0.5800
Zn  0.1996  0.2796  0.3371
Zn  0.1996  0.8625  0.9200
Zn  0.2796  0.1996  0.8371
Zn  0.2796  0.4425  0.0800
Zn  0.4425  0.2796  0.5800
Zn  0.4425  0.8625  0.1629
Zn  0.5575  0.1375  0.8371
Zn  0.5575  0.7204  0.4200
Zn  0.7204  0.5575  0.9200
Zn  0.7204  0.8004  0.1629
Zn  0.8004  0.1375  0.0800
Zn  0.8004  0.7204  0.6629
Zn  0.8625  0.1996  0.4200
Zn  0.8625  0.4425  0.6629
Zn  0.8750  0.1250  0.7500
Pt  0.0000  0.0000  0.0000
Pt  0.0000  0.0000  0.5000
Pt  0.0000  0.5000  0.0000
Pt  0.5000  0.0000  0.5000

VASP calculation (PBE) on a geometry-optimized MgAl2Si structure.

## Properties
E_form (uncorrected) = 2.52 kcal/mol of atoms

Lattice parameters (Å, degrees): 2.9974 3.7741 6.1486 90.00 90.00 90.00
Fractional coordinates of all 4 atoms:
Mg  0.0000  0.0000  0.0000
Al  0.5000  0.5000  0.2781
Al  0.5000  0.5000  0.7219
Si  0.0000  0.0000  0.5000

Number 1: raw total energy -4.043 eV per atom. Number 2: raw total energy -2.208 eV per atom. Number 3: raw total energy -3.772 eV per atom. Number 4: raw total energy -3.084 eV per atom. Number 5: raw total energy -4.291 eV per atom. Number 6: raw total energy -5.581 eV per atom. Number 7: raw total energy -3.005 eV per atom. Number 8: raw total energy -3.754 eV per atom. Number 9: raw total energy -3.852 eV per atom. Number 10: raw total energy -3.120 eV per atom. Number 11: raw total energy -2.501 eV per atom. Number 12: raw total energy -3.517 eV per atom.